Tb2AlZn2Rh5, optimized geometry, DFT PBE; total magnetic moment = 0.000 μB per formula unit; ΔE_f = -64.62 kJ/mol of atoms; Fermi-level density of states = 10.56 states/eV per cell; crystal system = tetragonal
1.0
-1.729 0.535 2.998
7.361 -4.048 4.968
4.224 8.755 0.875
Al Tb Rh Zn
2 4 10 4
Direct
0.000 0.000 0.000
0.000 0.500 0.500
0.000 0.828 0.672
0.000 0.328 0.828
0.000 0.172 0.328
0.000 0.672 0.172
0.500 0.436 0.303
0.500 0.064 0.803
0.500 0.303 0.564
0.500 0.803 0.936
0.500 0.500 0.000
0.500 0.197 0.064
0.500 0.564 0.697
0.500 0.000 0.500
0.500 0.936 0.197
0.500 0.697 0.436
0.000 0.127 0.627
0.000 0.873 0.373
0.000 0.373 0.127
0.000 0.627 0.873



AlTc2Rh, optimized geometry, DFT PBE; total magnetic moment = 0.000 μB per formula unit; ΔE_f = -24.36 kJ/mol of atoms; Fermi-level density of states = 2.98 states/eV per cell; crystal system = trigonal
1.0
8.691 -0.018 -0.011
8.249 2.737 -0.011
8.249 1.324 2.396
Tc Rh Al
2 1 1
Direct
0.999 0.999 0.999
0.250 0.250 0.250
0.753 0.753 0.753
0.498 0.498 0.498



AlTcRh2, optimized geometry, DFT PBE; total magnetic moment = 0.002 μB per formula unit; ΔE_f = -37.16 kJ/mol of atoms; Fermi-level density of states = 3.80 states/eV per cell; crystal system = orthorhombic
1.0
4.617 0.001 0.000
-1.299 4.431 0.000
0.000 0.000 2.773
Tc Al Rh
1 1 2
Direct
0.500 0.000 0.500
0.000 0.500 0.500
0.000 0.000 0.000
0.500 0.500 0.000



AlTc2Rh, optimized geometry, DFT PBE; total magnetic moment = 0.000 μB per formula unit; ΔE_f = -21.54 kJ/mol of atoms; Fermi-level density of states = 4.65 states/eV per cell; crystal system = orthorhombic
1.0
-1.901 -1.990 4.238
-1.818 -4.700 -0.375
4.080 2.940 -0.495
Al Tc Rh
1 2 1
Direct
0.502 0.502 0.000
0.005 0.005 0.000
0.257 0.757 0.500
0.736 0.236 0.500



AlTc3Rh, optimized geometry, DFT PBE; total magnetic moment = 1.339 μB per formula unit; ΔE_f = 166.16 kJ/mol of atoms; Fermi-level density of states = 8.53 states/eV per cell; energy above the lowest structure with this stoichiometry = 315 meV per atom; crystal system = cubic
1.0
-2.390 -3.968 0.302
1.593 -0.632 4.314
-3.647 2.325 1.687
Tc Al Rh
3 1 1
Direct
0.000 0.500 0.000
0.500 0.000 0.000
0.000 0.000 0.500
0.500 0.500 0.500
0.000 0.000 0.000



AlTc2Rh, optimized geometry, DFT PBE; total magnetic moment = 0.000 μB per formula unit; ΔE_f = -25.44 kJ/mol of atoms; Fermi-level density of states = 2.23 states/eV per cell; crystal system = monoclinic
1.0
4.844 0.008 -0.004
4.047 2.661 -0.004
0.769 0.231 4.471
Tc Al Rh
2 1 1
Direct
0.503 0.503 0.501
0.997 0.997 0.999
0.750 0.750 0.750
0.250 0.250 0.250



AlTcRh2, optimized geometry, DFT PBE; total magnetic moment = 0.000 μB per formula unit; ΔE_f = -32.92 kJ/mol of atoms; Fermi-level density of states = 3.93 states/eV per cell; crystal system = trigonal
1.0
-1.810 -1.483 8.287
0.958 -1.752 8.376
-0.202 0.769 8.574
Rh Al Tc
2 1 1
Direct
0.003 0.003 0.003
0.497 0.497 0.497
0.750 0.750 0.750
0.250 0.250 0.250



AlTc2Rh, optimized geometry, DFT PBE; total magnetic moment = 0.001 μB per formula unit; ΔE_f = 42.25 kJ/mol of atoms; Fermi-level density of states = 10.42 states/eV per cell; crystal system = tetragonal
1.0
-4.414 -4.174 -3.553
-2.659 -2.359 6.074
-5.274 -1.399 1.225
Tc Al Rh
4 2 2
Direct
0.116 0.625 0.250
0.634 0.125 0.250
0.375 0.366 0.750
0.875 0.884 0.750
0.250 0.750 0.500
0.500 0.500 0.000
0.750 0.250 0.500
0.000 0.000 0.000



Al2TcRh, optimized geometry, DFT PBE; total magnetic moment = 0.001 μB per formula unit; ΔE_f = -67.12 kJ/mol of atoms; Fermi-level density of states = 2.68 states/eV per cell; energy above the lowest structure with this stoichiometry = 0 meV per atom; crystal system = tetragonal
1.0
4.325 0.000 0.000
0.000 4.325 0.000
0.000 0.000 2.966
Rh Al Tc
1 2 1
Direct
0.500 0.000 0.500
0.000 0.000 0.000
0.500 0.500 0.000
0.000 0.500 0.500



AlTcRh3, optimized geometry, DFT PBE; total magnetic moment = 3.953 μB per formula unit; ΔE_f = 77.84 kJ/mol of atoms; Fermi-level density of states = 5.85 states/eV per cell; energy above the lowest structure with this stoichiometry = 0 meV per atom; crystal system = cubic
1.0
4.402 0.000 0.000
0.000 4.402 0.000
0.000 0.000 4.402
Rh Tc Al
3 1 1
Direct
0.500 0.000 0.000
0.000 0.500 0.000
0.000 0.000 0.500
0.500 0.500 0.500
0.000 0.000 0.000



AlTcRh3, optimized geometry, DFT PBE; total magnetic moment = 0.000 μB per formula unit; ΔE_f = 104.86 kJ/mol of atoms; Fermi-level density of states = 6.15 states/eV per cell; energy above the lowest structure with this stoichiometry = 280 meV per atom; crystal system = cubic
1.0
4.655 0.000 0.000
0.000 4.655 0.000
0.000 0.000 4.655
Al Rh Tc
1 3 1
Direct
0.500 0.500 0.500
0.000 0.500 0.000
0.000 0.000 0.500
0.500 0.000 0.000
0.000 0.000 0.000



AlTcRh2, optimized geometry, DFT PBE; total magnetic moment = 0.007 μB per formula unit; ΔE_f = -31.63 kJ/mol of atoms; Fermi-level density of states = 4.57 states/eV per cell; crystal system = tetragonal
1.0
-0.455 -3.843 -2.745
3.153 0.088 -3.544
0.427 0.562 4.692
Rh Tc Al
2 1 1
Direct
0.000 0.000 0.000
0.250 0.750 0.500
0.500 0.500 0.000
0.750 0.250 0.500



The lowest Fermi-level density of states belongs to which entry?
number 6